[1]
# MgFe2P

A relaxed MgFe2P crystal (GGA-PBEsol, the Alexandria database).

a = 4.1088 Å, b = 4.1088 Å, c = 4.1088 Å
α = 60.00°, β = 60.00°, γ = 60.00°
Positions (direct):
Mg (0.0000, 0.0000, 0.0000)
Fe (0.2500, 0.2500, 0.2500)
Fe (0.5000, 0.5000, 0.5000)
P (0.7500, 0.7500, 0.7500)

Symmetry ... F-43m, No. 216
Theoretical density ... 5.7 g/cm³
Formation enthalpy at 0 K ... 76 meV per atom
M_tot ... 4.52 μB/cell

=====

[2]
# MgFe2P

A relaxed MgFe2P crystal (GGA-PBEsol, the Alexandria database).

a = 4.9168 Å, b = 4.9168 Å, c = 4.9168 Å
α = 46.06°, β = 46.06°, γ = 46.06°
Positions (direct):
Mg (0.0000, 0.0000, 0.0000)
Fe (0.5297, 0.5297, 0.5297)
Fe (0.8008, 0.8008, 0.8008)
P (0.1958, 0.1958, 0.1958)

Symmetry ... R3m, No. 160
Theoretical density ... 4.9 g/cm³
Formation enthalpy at 0 K ... -164 meV per atom
M_tot ... 3.70 μB/cell